DFT (GGA-PBE) results for a geometry-optimized Rb2BiHCl6 structure.

```
data_Rb2BiHCl6
_chemical_formula_sum 'Rb4 Bi2 H2 Cl12'
_cell_length_a 8.339
_cell_length_b 8.339
_cell_length_c 9.094
_cell_angle_alpha 90.00
_cell_angle_beta 90.00
_cell_angle_gamma 90.00
_symmetry_space_group_name_H-M 'I 4/m m m'
_symmetry_Int_Tables_number 139
_symmetry_space_group_name_Hall '-I 4 2'
loop_
_atom_site_label
_atom_site_fract_x
_atom_site_fract_y
_atom_site_fract_z
_atom_site_occupancy
Rb1 0.000 0.500 0.250 1
Bi1 0.000 0.000 0.000 1
H1 0.000 0.000 0.500 1
Cl1 0.000 0.000 0.326 1
Cl2 0.226 0.226 0.000 1
```

Output
Density ... 3.1 g/cm3
Size of the total moment ... 0.00 Bohr magnetons per cell
E ... -65.144 eV for the cell shown
Calculated volume ... 632.4 Å³/cell
DOS(E_F) ... 0.0 states/eV per cell